(1)
{"formula": "ZnCo2Ni6", "functional": "PBE", "state": "relaxed", "lattice_angstrom": [[4.279, -5.286, 0.000], [4.279, 5.286, 0.000], [-0.857, 0.000, 4.580]], "species": ["Zn", "Zn", "Co", "Co", "Co", "Co", "Ni", "Ni", "Ni", "Ni", "Ni", "Ni", "Ni", "Ni", "Ni", "Ni", "Ni", "Ni"], "frac_coords": [[0.084, 0.916, 0.750], [0.916, 0.084, 0.250], [0.360, 0.384, 0.616], [0.384, 0.360, 0.116], [0.616, 0.640, 0.884], [0.640, 0.616, 0.384], [0.039, 0.269, 0.788], [0.083, 0.433, 0.305], [0.260, 0.652, 0.983], [0.269, 0.039, 0.288], [0.348, 0.740, 0.517], [0.433, 0.083, 0.805], [0.567, 0.917, 0.195], [0.652, 0.260, 0.483], [0.731, 0.961, 0.712], [0.740, 0.348, 0.017], [0.917, 0.567, 0.695], [0.961, 0.731, 0.212]], "energy_ev_per_atom": -5.493, "ef_ev_per_fu": 0.736, "spacegroup": "C2/c", "n_ef_per_ev_fu": 10.661}


(2)
{"formula": "Mg2ZrBi", "functional": "PBE", "state": "relaxed", "lattice_angstrom": [[4.448, 0.000, 0.000], [0.000, 4.448, 0.000], [0.000, 0.000, 4.690]], "species": ["Mg", "Mg", "Zr", "Bi"], "frac_coords": [[0.000, 0.500, 0.000], [0.500, 0.000, 0.000], [0.000, 0.000, 0.500], [0.500, 0.500, 0.500]], "energy_ev_per_atom": -4.003, "ef_ev_per_fu": -0.393, "spacegroup": "P4/mmm", "n_ef_per_ev_fu": 2.922}


(3)
{"formula": "BeNbSb3", "functional": "PBE", "state": "relaxed", "lattice_angstrom": [[5.343, 0.000, 0.000], [0.000, 5.343, 0.000], [0.000, 0.000, 5.343]], "species": ["Be", "Nb", "Sb", "Sb", "Sb"], "frac_coords": [[0.000, 0.000, 0.000], [0.500, 0.500, 0.500], [0.000, 0.500, 0.500], [0.500, 0.000, 0.500], [0.500, 0.500, 0.000]], "energy_ev_per_atom": -4.385, "raw_formation_energy_ev_per_atom": 0.848, "spacegroup": "Pm-3m", "n_ef_per_ev_fu": 3.378}


(4)
{"formula": "Mn2ReRhN", "functional": "PBE", "state": "relaxed", "lattice_angstrom": [[3.818, 0.000, 0.000], [0.000, 3.818, 0.000], [0.000, 0.000, 3.969]], "species": ["Mn", "Mn", "Re", "Rh", "N"], "frac_coords": [[0.000, 0.500, 0.000], [0.500, 0.000, 0.000], [0.000, 0.000, 0.500], [0.500, 0.500, 0.500], [0.000, 0.000, 0.000]], "energy_ev_per_atom": -9.315, "raw_formation_energy_ev_per_atom": -0.022, "spacegroup": "P4/mmm", "n_ef_per_ev_fu": 5.150}


(5)
{"formula": "Zn7AgAu4", "functional": "PBE", "state": "relaxed", "lattice_angstrom": [[5.938, -2.394, 0.000], [5.938, 2.394, 0.000], [-5.414, 0.000, 7.622]], "species": ["Zn", "Zn", "Zn", "Zn", "Zn", "Zn", "Zn", "Ag", "Au", "Au", "Au", "Au"], "frac_coords": [[0.000, 0.000, 0.000], [0.143, 0.143, 0.565], [0.294, 0.294, 0.115], [0.428, 0.428, 0.667], [0.572, 0.572, 0.333], [0.706, 0.706, 0.885], [0.857, 0.857, 0.435], [0.500, 0.500, 0.000], [0.076, 0.076, 0.784], [0.221, 0.221, 0.334], [0.779, 0.779, 0.666], [0.924, 0.924, 0.216]], "energy_ev_per_atom": -2.117, "ef_ev_per_fu": -0.524, "spacegroup": "C2/m", "n_ef_per_ev_fu": 2.972}


(6)
{"formula": "PmNd2Mg", "functional": "PBE", "state": "relaxed", "lattice_angstrom": [[0.000, 4.004, 4.004], [4.004, 0.000, 4.004], [4.004, 4.004, 0.000]], "species": ["Pm", "Nd", "Nd", "Mg"], "frac_coords": [[0.000, 0.000, 0.000], [0.250, 0.250, 0.250], [0.750, 0.750, 0.750], [0.500, 0.500, 0.500]], "energy_ev_per_atom": -3.921, "ef_ev_per_fu": 0.196, "spacegroup": "Fm-3m", "n_ef_per_ev_fu": 6.089}